(1)
A plane-wave DFT calculation with PBE was carried out for a relaxed structure of RbU2PdSe4.

Computed properties:
The calculated total energy is -6.40 eV per atom. Its uncorrected formation energy is -1.07 eV per atom. For the density of states at the Fermi level, the calculation gives 56.35 states/eV/cell.

Cell and atoms, written as CIF:
```
data_RbU2PdSe4
_chemical_formula_sum 'Rb4 U8 Pd4 Se16'
_cell_length_a 4.179
_cell_length_b 14.289
_cell_length_c 14.488
_cell_angle_alpha 90.00
_cell_angle_beta 90.00
_cell_angle_gamma 90.00
_space_group_name_H-M_alt 'C m c m'
_space_group_IT_number 63
_space_group_name_Hall '-C 2c 2'
loop_
_atom_site_label
_atom_site_type_symbol
_atom_site_fract_x
_atom_site_fract_y
_atom_site_fract_z
Rb1 Rb 0.000 0.114 0.250
U1 U 0.000 0.368 0.067
Pd1 Pd 0.000 0.163 0.750
Se1 Se 0.000 0.000 0.000
Se2 Se 0.000 0.265 0.604
Se3 Se 0.000 0.437 0.250
```

(2)
A plane-wave DFT calculation with PBE was carried out for a relaxed structure of CrMo6W8.

Computed properties:
The calculated total energy is -11.61 eV per atom. As for the offset from the most stable computed form: 0 meV per atom. Its energy of formation from the pure elements is 268 meV per atom. For the density of states at the Fermi level, the calculation gives 51.91 states/eV/cell.

Cell and atoms, written as CIF:
```
data_CrMo6W8
_chemical_formula_sum 'Cr3 Mo18 W24'
_cell_length_a 7.0023
_cell_length_b 7.0023
_cell_length_c 17.1326
_cell_angle_alpha 90.00
_cell_angle_beta 90.00
_cell_angle_gamma 120.00
_space_group_name_H-M_alt 'R -3'
_space_group_IT_number 148
_space_group_name_Hall '-R 3'
loop_
_atom_site_label
_atom_site_type_symbol
_atom_site_fract_x
_atom_site_fract_y
_atom_site_fract_z
Cr1 Cr 0.0000 0.0000 0.0000
Mo1 Mo 0.0117 0.2513 0.7065
W1 W 0.0000 0.0000 0.4231
W2 W 0.0402 0.7864 0.1279
```

(3)
A plane-wave DFT calculation with PBE was carried out for a relaxed structure of DyTm2O.

Computed properties:
The calculated total energy is -5.99 eV per atom. Its uncorrected formation energy is -1.37 eV per atom. As for the offset from the most stable computed form: 0 meV per atom. For the density of states at the Fermi level, the calculation gives 13.22 states/eV/cell.

Cell and atoms, written as CIF:
```
data_DyTm2O
_chemical_formula_sum 'Dy3 Tm6 O3'
_cell_length_a 3.4545
_cell_length_b 3.4545
_cell_length_c 25.7244
_cell_angle_alpha 90.00
_cell_angle_beta 90.00
_cell_angle_gamma 120.00
_space_group_name_H-M_alt 'R -3 m'
_space_group_IT_number 166
_space_group_name_Hall '-R 3 2"'
loop_
_atom_site_label
_atom_site_type_symbol
_atom_site_fract_x
_atom_site_fract_y
_atom_site_fract_z
Dy1 Dy 0.0000 0.0000 0.0000
Tm1 Tm 0.0000 0.0000 0.2196
O1 O 0.0000 0.0000 0.5000
```

(4)
A plane-wave DFT calculation with PBE was carried out for a relaxed structure of BaZn3Rh.

Computed properties:
The calculated total energy is -2.88 eV per atom. As for the offset from the most stable computed form: 92 meV per atom. Its energy of formation from the pure elements is -264 meV per atom. For the density of states at the Fermi level, the calculation gives 11.89 states/eV/cell.

Cell and atoms, written as CIF:
```
data_BaZn3Rh
_chemical_formula_sum 'Ba4 Zn12 Rh4'
_cell_length_a 7.585
_cell_length_b 7.219
_cell_length_c 8.845
_cell_angle_alpha 90.00
_cell_angle_beta 103.76
_cell_angle_gamma 90.00
_space_group_name_H-M_alt 'P 1 21/c 1'
_space_group_IT_number 14
_space_group_name_Hall '-P 2ybc'
loop_
_atom_site_label
_atom_site_type_symbol
_atom_site_fract_x
_atom_site_fract_y
_atom_site_fract_z
Ba1 Ba 0.168 0.082 0.202
Zn1 Zn 0.137 0.602 0.057
Zn2 Zn 0.384 0.565 0.361
Zn3 Zn 0.447 0.106 0.605
Rh1 Rh 0.438 0.747 0.618
```

(5)
A plane-wave DFT calculation with PBE was carried out for a relaxed structure of CaTlBr2F.

Computed properties:
The calculated total energy is -3.95 eV per atom. Its uncorrected formation energy is -2.03 eV per atom. As for the offset from the most stable computed form: 45 meV per atom. For the density of states at the Fermi level, the calculation gives 0.00 states/eV/cell.

Cell and atoms, written as CIF:
```
data_CaTlBr2F
_chemical_formula_sum 'Ca2 Tl2 Br4 F2'
_cell_length_a 8.024
_cell_length_b 4.256
_cell_length_c 9.532
_cell_angle_alpha 90.00
_cell_angle_beta 106.61
_cell_angle_gamma 90.00
_space_group_name_H-M_alt 'P 1 21/m 1'
_space_group_IT_number 11
_space_group_name_Hall '-P 2yb'
loop_
_atom_site_label
_atom_site_type_symbol
_atom_site_fract_x
_atom_site_fract_y
_atom_site_fract_z
Ca1 Ca 0.196 0.250 0.181
Tl1 Tl 0.320 0.250 0.687
Br1 Br 0.148 0.750 0.375
Br2 Br 0.194 0.750 0.962
F1 F 0.471 0.250 0.262
```

(6)
A plane-wave DFT calculation with PBE was carried out for a relaxed structure of KLi2ScTl.

Computed properties:
The calculated total energy is -2.14 eV per atom. Its energy of formation from the pure elements is 584 meV per atom. For the density of states at the Fermi level, the calculation gives 4.17 states/eV/cell.

Cell and atoms, written as CIF:
```
data_KLi2ScTl
_chemical_formula_sum 'K1 Li2 Sc1 Tl1'
_cell_length_a 5.281
_cell_length_b 5.281
_cell_length_c 6.123
_cell_angle_alpha 90.00
_cell_angle_beta 90.00
_cell_angle_gamma 90.00
_space_group_name_H-M_alt 'P 4/m m m'
_space_group_IT_number 123
_space_group_name_Hall '-P 4 2'
loop_
_atom_site_label
_atom_site_type_symbol
_atom_site_fract_x
_atom_site_fract_y
_atom_site_fract_z
K1 K 0.000 0.000 0.000
Li1 Li 0.000 0.500 0.500
Sc1 Sc 0.500 0.500 0.000
Tl1 Tl 0.000 0.000 0.500
```

(7)
A plane-wave DFT calculation with PBE was carried out for a relaxed structure of CaCdRu2O.

Computed properties:
The calculated total energy is -5.55 eV per atom. Its uncorrected formation energy is -0.26 eV per atom. For the density of states at the Fermi level, the calculation gives 4.76 states/eV/cell.

Cell and atoms, written as CIF:
```
data_CaCdRu2O
_chemical_formula_sum 'Ca1 Cd1 Ru2 O1'
_cell_length_a 4.204
_cell_length_b 4.204
_cell_length_c 4.479
_cell_angle_alpha 90.00
_cell_angle_beta 90.00
_cell_angle_gamma 90.00
_space_group_name_H-M_alt 'P 4/m m m'
_space_group_IT_number 123
_space_group_name_Hall '-P 4 2'
loop_
_atom_site_label
_atom_site_type_symbol
_atom_site_fract_x
_atom_site_fract_y
_atom_site_fract_z
Ca1 Ca 0.000 0.000 0.000
Cd1 Cd 0.500 0.500 0.000
Ru1 Ru 0.000 0.500 0.500
O1 O 0.000 0.000 0.500
```

(8)
A plane-wave DFT calculation with PBE was carried out for a relaxed structure of ScNiPt3.

Computed properties:
The calculated total energy is -5.10 eV per atom. As for the offset from the most stable computed form: 1623 meV per atom. Its energy of formation from the pure elements is 945 meV per atom. For the density of states at the Fermi level, the calculation gives 6.78 states/eV/cell.

Cell and atoms, written as CIF:
```
data_ScNiPt3
_chemical_formula_sum 'Sc1 Ni1 Pt3'
_cell_length_a 4.757
_cell_length_b 4.757
_cell_length_c 4.757
_cell_angle_alpha 90.00
_cell_angle_beta 90.00
_cell_angle_gamma 90.00
_space_group_name_H-M_alt 'P m -3 m'
_space_group_IT_number 221
_space_group_name_Hall '-P 4 2 3'
loop_
_atom_site_label
_atom_site_type_symbol
_atom_site_fract_x
_atom_site_fract_y
_atom_site_fract_z
Sc1 Sc 0.000 0.000 0.000
Ni1 Ni 0.500 0.500 0.500
Pt1 Pt 0.000 0.000 0.500
```